# 1
Pm2Si3GePt4 after structural relaxation, computed with GGA-PBE.

a b c (Å): 4.3019 4.3019 9.8535
angles (deg): 90.00 90.00 90.00
With the nearest neighbours (Å) after each atom.
Positions (direct):
Pm (0.5000, 0.0000, 0.2523)  2 Ge 3.25, 6 Si 3.25-3.28, 8 Pt 3.26-3.29
Pm (0.0000, 0.5000, 0.7477)  2 Ge 3.25, 6 Si 3.25-3.28, 8 Pt 3.26-3.29
Si (0.0000, 0.0000, 0.5000)  4 Pt 2.49
Si (0.5000, 0.0000, 0.8721)  5 Pt 2.41-2.49
Si (0.0000, 0.5000, 0.1279)  5 Pt 2.41-2.49
Ge (0.5000, 0.5000, 0.5000)  4 Pt 2.49
Pt (0.5000, 0.5000, 0.0000)  4 Si 2.49
Pt (0.0000, 0.0000, 0.0000)  4 Si 2.49
Pt (0.5000, 0.0000, 0.6279)  3 Si 2.41-2.49, 2 Ge 2.49
Pt (0.0000, 0.5000, 0.3721)  3 Si 2.41-2.49, 2 Ge 2.49

Results
E_form (uncorrected): -1065.4 meV/atom
Size of the total moment: 0.00 μB/f.u.

# 2
La5Cr after structural relaxation, computed with GGA-PBE.

a b c (Å): 6.6411 6.6411 8.8272
angles (deg): 70.04 70.04 33.38
With the nearest neighbours (Å) after each atom.
Positions (direct):
La (0.3883, 0.3883, 0.8056)  2 Cr 3.14
La (0.6927, 0.6927, 0.6423)  2 Cr 3.34, 3 La 3.62-3.70
La (0.0277, 0.0277, 0.4448)  12 La 3.59-3.99
La (0.3630, 0.3630, 0.2462)  2 Cr 3.34, 3 La 3.62-3.70
La (0.6671, 0.6671, 0.0835)  2 Cr 3.14
Cr (0.0278, 0.0278, 0.9442)  8 La 3.14-3.34

Results
Calculated formation energy: 0.18 eV/atom
Excess energy over the best structure of this formula in the dataset: 0 meV/atom
Size of the total moment: 3.15 μB/f.u.

# 3
PrSi2S6 after structural relaxation, computed with GGA-PBE.

a b c (Å): 6.3591 8.3559 8.3559
angles (deg): 84.68 77.16 77.16
With the nearest neighbours (Å) after each atom.
Positions (direct):
Pr (0.2500, 0.1592, 0.8408)  6 S 2.86-2.96
Pr (0.7500, 0.8408, 0.1592)  6 S 2.86-2.96
Si (0.2790, 0.6393, 0.7715)  4 S 2.10-2.21
Si (0.2210, 0.2285, 0.3607)  4 S 2.10-2.21
Si (0.7210, 0.3607, 0.2285)  4 S 2.10-2.21
Si (0.7790, 0.7715, 0.6393)  4 S 2.10-2.21
S (0.5050, 0.7197, 0.5525)  2 Si 2.17-2.21
S (0.9950, 0.4475, 0.2803)  2 Si 2.17-2.21
S (0.4950, 0.2803, 0.4475)  2 Si 2.17-2.21
S (0.0050, 0.5525, 0.7197)  2 Si 2.17-2.21
S (0.9721, 0.8641, 0.4252)  1 Si 2.12
S (0.5279, 0.5748, 0.1359)  1 Si 2.12
S (0.0279, 0.1359, 0.5748)  1 Si 2.12
S (0.4721, 0.4252, 0.8641)  1 Si 2.12
S (0.1696, 0.8257, 0.9417)  1 Si 2.10
S (0.3304, 0.0583, 0.1743)  1 Si 2.10
S (0.8304, 0.1743, 0.0583)  1 Si 2.10
S (0.6696, 0.9417, 0.8257)  1 Si 2.10

Results
E_form (uncorrected): -827.1 meV/atom
Size of the total moment: 0.99 μB/f.u.